Entry 1:
# Ta3PbN2

A relaxed Ta3PbN2 crystal (PBE, OQMD).

a b c (Å): 3.1790 3.1790 19.5422
angles (deg): 90.00 90.00 120.00
With the nearest neighbours (Å) after each atom.
Fractional positions:
Ta: 0.0000 0.0000 0.0000  6 N 2.20
Ta: 0.0000 0.0000 0.5000  6 N 2.20
Ta: 0.3333 0.6667 0.1244  3 N 2.20
Ta: 0.3333 0.6667 0.3756  3 N 2.20
Ta: 0.6667 0.3333 0.6244  3 N 2.20
Ta: 0.6667 0.3333 0.8756  3 N 2.20
Pb: 0.0000 0.0000 0.2500  6 Ta 3.06, 6 Pb 3.18
Pb: 0.0000 0.0000 0.7500  6 Ta 3.06, 6 Pb 3.18
N: 0.3333 0.6667 0.5624  6 Ta 2.20
N: 0.3333 0.6667 0.9376  6 Ta 2.20
N: 0.6667 0.3333 0.0624  6 Ta 2.20
N: 0.6667 0.3333 0.4376  6 Ta 2.20

Symmetry: P6_3/mmc, No. 194
Energy in eV per atom: -9.689

***

Entry 2:
# PaPd5Pt2

A relaxed PaPd5Pt2 crystal (PBE, OQMD).

a b c (Å): 5.7401 11.3402 4.0874
angles (deg): 90.00 90.00 90.00
With the nearest neighbours (Å) after each atom.
Fractional positions:
Pa: 0.0000 0.0000 0.0000  8 Pd 2.79-2.90, 4 Pt 2.86
Pa: 0.5000 0.5000 0.0000  8 Pd 2.79-2.90, 4 Pt 2.86
Pd: 0.0000 0.5000 0.0000  6 Pd 2.86-2.88, 4 Pt 2.87, 2 Pa 2.87
Pd: 0.0039 0.2464 0.0000  1 Pa 2.79, 7 Pd 2.85-2.88, 4 Pt 2.87-2.89
Pd: 0.2431 0.6264 0.5000  4 Pt 2.83-2.90, 6 Pd 2.85-2.88, 2 Pa 2.90
Pd: 0.2569 0.1264 0.5000  4 Pt 2.83-2.90, 6 Pd 2.85-2.88, 2 Pa 2.90
Pd: 0.4961 0.7464 0.0000  1 Pa 2.79, 7 Pd 2.85-2.88, 4 Pt 2.87-2.89
Pd: 0.5000 0.0000 0.0000  6 Pd 2.86-2.88, 4 Pt 2.87, 2 Pa 2.87
Pd: 0.5039 0.2536 0.0000  1 Pa 2.79, 7 Pd 2.85-2.88, 4 Pt 2.87-2.89
Pd: 0.7431 0.8736 0.5000  4 Pt 2.83-2.90, 6 Pd 2.85-2.88, 2 Pa 2.90
Pd: 0.7569 0.3736 0.5000  4 Pt 2.83-2.90, 6 Pd 2.85-2.88, 2 Pa 2.90
Pd: 0.9961 0.7536 0.0000  1 Pa 2.79, 7 Pd 2.85-2.88, 4 Pt 2.87-2.89
Pt: 0.2490 0.8766 0.5000  10 Pd 2.83-2.90, 2 Pa 2.86
Pt: 0.2510 0.3766 0.5000  10 Pd 2.83-2.90, 2 Pa 2.86
Pt: 0.7490 0.6234 0.5000  10 Pd 2.83-2.90, 2 Pa 2.86
Pt: 0.7510 0.1234 0.5000  10 Pd 2.83-2.90, 2 Pa 2.86

ΔE_f in meV/atom: -587.9
Symmetry: Pbam, No. 55
Energy in eV per atom: -6.523

***

Entry 3:
# Sr3Sn2Pd4

A relaxed Sr3Sn2Pd4 crystal (PBE, OQMD).

a b c (Å): 5.9951 5.9951 9.0482
angles (deg): 98.78 98.78 45.27
With the nearest neighbours (Å) after each atom.
Fractional positions:
Sr: 0.0000 0.0000 0.0000  6 Pd 3.19-3.44
Sr: 0.3759 0.3759 0.6151  6 Pd 3.13-3.30, 1 Sn 3.44
Sr: 0.6241 0.6241 0.3849  6 Pd 3.13-3.30, 1 Sn 3.44
Sn: 0.3206 0.3206 0.2198  5 Pd 2.71-2.77
Sn: 0.6794 0.6794 0.7802  5 Pd 2.71-2.77
Pd: 0.0869 0.0869 0.6344  2 Sn 2.77, 2 Pd 2.84-2.96
Pd: 0.2679 0.2679 0.9140  3 Sn 2.71-2.73, 3 Pd 2.85-2.96
Pd: 0.7321 0.7321 0.0860  3 Sn 2.71-2.73, 3 Pd 2.85-2.96
Pd: 0.9131 0.9131 0.3656  2 Sn 2.77, 2 Pd 2.84-2.96

Symmetry: C2/m, No. 12
Energy in eV per atom: -4.478